The following is a DFT calculation (PBEsol) of a geometry-optimized LiMg2Zn structure.

Computed properties:
* N(E_F): 1.4 states/eV/f.u.
* energy: -7.24 eV per cell
* energy of formation: -65 meV/atom

Unit cell a=2.987 b=4.506 c=5.615 alpha=90.00 beta=105.52 gamma=90.00
Fractional coordinates of all 4 atoms:
Zn  0.309  0.000  0.497
Mg  0.046  0.000  0.964
Mg  0.705  0.500  0.290
Li  0.440  0.500  0.749

***

The following is a DFT calculation (PBEsol) of a geometry-optimized IrSCl3 structure.

Computed properties:
* N(E_F): 5.1 states/eV/f.u.
* uncorrected formation energy: 0.5085 eV/atom
* energy: -17.69 eV per cell

Unit cell a=4.694 b=4.694 c=4.694 alpha=90.00 beta=90.00 gamma=90.00
Fractional coordinates of all 5 atoms:
S  0.500  0.500  0.500
Ir  0.000  0.000  0.000
Cl  0.000  0.500  0.000
Cl  0.000  0.000  0.500
Cl  0.500  0.000  0.000

***

The following is a DFT calculation (PBEsol) of a geometry-optimized Nd4Re6O19 structure.

Computed properties:
* N(E_F): 2.9 states/eV/f.u.
* uncorrected formation energy: -2.1989 eV/atom
* energy: -264.16 eV per cell

Unit cell a=7.759 b=7.759 c=7.759 alpha=109.47 beta=109.47 gamma=109.47
Fractional coordinates of all 29 atoms:
Nd  0.311  0.000  0.000
Nd  0.689  0.689  0.689
Nd  0.000  0.000  0.311
Nd  0.000  0.311  0.000
Re  0.634  0.134  0.500
Re  0.366  0.866  0.500
Re  0.134  0.500  0.634
Re  0.866  0.500  0.366
Re  0.500  0.366  0.866
Re  0.500  0.634  0.134
O  0.319  0.319  0.000
O  0.681  0.681  0.000
O  0.319  0.000  0.319
O  0.681  0.000  0.681
O  0.000  0.681  0.681
O  0.000  0.319  0.319
O  0.000  0.000  0.000
O  0.645  0.944  0.265
O  0.355  0.620  0.299
O  0.320  0.056  0.701
O  0.380  0.735  0.680
O  0.680  0.380  0.735
O  0.056  0.701  0.320
O  0.620  0.299  0.355
O  0.944  0.265  0.645
O  0.701  0.320  0.056
O  0.265  0.645  0.944
O  0.299  0.355  0.620
O  0.735  0.680  0.380

***

The following is a DFT calculation (PBEsol) of a geometry-optimized ZnCdBr structure.

Computed properties:
* N(E_F): 2.2 states/eV/f.u.
* uncorrected formation energy: 0.3676 eV/atom
* energy: -3.55 eV per cell

Unit cell a=4.948 b=4.948 c=4.948 alpha=60.00 beta=60.00 gamma=60.00
Fractional coordinates of all 3 atoms:
Br  0.750  0.750  0.750
Cd  0.000  0.000  0.000
Zn  0.500  0.500  0.500

***

Computed values of theoretical density (unit: Mg/m³) for the preceding records, in sequence: 2.8; 5.3; 9.2; 5.0.